Entry 1:
Material: Mg2Sc3Rh
Method: DFT, PBE
State: relaxed

Output
Formation energy from the elements: -0.37 eV per atom
Magnetization: 0.0 μB per formula unit
Symmetry: Cmmm, No. 65

Cell lengths 4.7476, 7.5047, 7.3921 Å; angles 90.00, 90.00, 71.56 degrees
Element x y z (fractional)
Sc  0.1752  0.6496  0.7861
Sc  0.8248  0.3504  0.2139
Sc  0.1752  0.6496  0.2139
Sc  0.5000  0.0000  0.2261
Sc  0.8248  0.3504  0.7861
Sc  0.5000  0.0000  0.7739
Mg  0.6660  0.6679  0.5000
Mg  0.0000  0.0000  0.5000
Mg  0.3340  0.3321  0.5000
Mg  0.0000  0.0000  0.0000
Rh  0.3415  0.3171  0.0000
Rh  0.6585  0.6829  0.0000

Entry 2:
Material: Mg4ScRh5
Method: DFT, PBE
State: relaxed

Output
Formation energy from the elements: -0.61 eV per atom
Magnetization: 0.0 μB per formula unit
Symmetry: P4/mmm, No. 123

Cell lengths 3.1540, 3.1540, 15.5927 Å; angles 90.00, 90.00, 90.00 degrees
Element x y z (fractional)
Mg  0.0000  0.0000  0.7942
Mg  0.0000  0.0000  0.4011
Mg  0.0000  0.0000  0.5989
Mg  0.0000  0.0000  0.2058
Rh  0.5000  0.5000  0.1019
Rh  0.5000  0.5000  0.5000
Rh  0.5000  0.5000  0.6982
Rh  0.5000  0.5000  0.8981
Rh  0.5000  0.5000  0.3018
Sc  0.0000  0.0000  0.0000

Entry 3:
Material: MgScRh
Method: DFT, PBE
State: relaxed

Output
Formation energy from the elements: -0.49 eV per atom
Magnetization: 0.0 μB per formula unit
Symmetry: F-43m, No. 216

Cell lengths 4.4458, 4.4458, 4.4458 Å; angles 60.00, 60.00, 60.00 degrees
Element x y z (fractional)
Sc  0.0000  0.0000  0.0000
Rh  0.2500  0.2500  0.2500
Mg  0.5000  0.5000  0.5000

Entry 4:
Material: MgSc2Rh
Method: DFT, PBE
State: relaxed

Output
Formation energy from the elements: -0.35 eV per atom
Magnetization: 0.0 μB per formula unit
Symmetry: F-43m, No. 216

Cell lengths 4.7158, 4.7158, 4.7158 Å; angles 60.00, 60.00, 60.00 degrees
Element x y z (fractional)
Sc  0.0000  0.0000  0.0000
Sc  0.2500  0.2500  0.2500
Mg  0.5000  0.5000  0.5000
Rh  0.7500  0.7500  0.7500

Entry 5:
Material: Mg4ScRh
Method: DFT, PBE
State: relaxed

Output
Formation energy from the elements: 0.01 eV per atom
Magnetization: 0.0 μB per formula unit
Symmetry: F-43m, No. 216

Cell lengths 5.5028, 5.5028, 5.5028 Å; angles 60.00, 60.00, 60.00 degrees
Element x y z (fractional)
Mg  0.3758  0.8727  0.3758
Mg  0.3758  0.3758  0.8727
Mg  0.3758  0.3758  0.3758
Mg  0.8727  0.3758  0.3758
Sc  0.0000  0.0000  0.0000
Rh  0.7500  0.7500  0.7500

Entry 6:
Material: MgSc2Rh
Method: DFT, PBE
State: relaxed

Output
Formation energy from the elements: -0.32 eV per atom
Magnetization: 0.0 μB per formula unit
Symmetry: R3m, No. 160

Cell lengths 3.2931, 3.2931, 9.2953 Å; angles 79.80, 79.80, 60.00 degrees
Element x y z (fractional)
Sc  0.2649  0.2649  0.2052
Sc  0.0683  0.0683  0.7952
Rh  0.6666  0.6666  0.0002
Mg  0.5002  0.5002  0.4994

Entry 7:
Material: MgSc2Rh4
Method: DFT, PBE
State: relaxed

Output
Formation energy from the elements: -0.51 eV per atom
Magnetization: 0.0 μB per formula unit
Symmetry: R-3m, No. 166

Cell lengths 4.3867, 4.3867, 7.5860 Å; angles 73.19, 73.19, 60.00 degrees
Element x y z (fractional)
Rh  0.1256  0.1256  0.6231
Rh  0.6235  0.6235  0.1295
Rh  0.3765  0.3765  0.8705
Rh  0.8744  0.8744  0.3769
Sc  0.7539  0.7539  0.7384
Sc  0.2461  0.2461  0.2616
Mg  0.0000  0.0000  0.0000

Entry 8:
Material: MgSc2Rh
Method: DFT, PBE
State: relaxed

Output
Formation energy from the elements: -0.43 eV per atom
Magnetization: 0.0 μB per formula unit
Symmetry: Imm2, No. 44

Cell lengths 5.8483, 5.8483, 4.7706 Å; angles 65.95, 65.95, 32.72 degrees
Element x y z (fractional)
Rh  0.2535  0.2535  0.2464
Mg  0.5389  0.5389  0.4610
Sc  0.9575  0.9575  0.0427
Sc  0.7501  0.7501  0.7499

Entry 9:
Material: Mg2ScRh2
Method: DFT, PBE
State: relaxed

Output
Formation energy from the elements: -0.62 eV per atom
Excess energy over the best structure of this formula in the dataset: 0 meV/atom
Magnetization: 0.0 μB per formula unit
Symmetry: Cmmm, No. 65

Cell lengths 3.1512, 3.1760, 9.2393 Å; angles 80.10, 90.00, 90.00 degrees
Element x y z (fractional)
Sc  0.0000  0.0000  0.0000
Rh  0.5000  0.4108  0.1783
Rh  0.5000  0.5892  0.8217
Mg  0.0000  0.8270  0.3460
Mg  0.0000  0.1730  0.6540

Entry 10:
Material: MgScRh
Method: DFT, PBE
State: relaxed

Output
Formation energy from the elements: -0.34 eV per atom
Magnetization: 0.0 μB per formula unit
Symmetry: P3m1, No. 156

Cell lengths 3.2822, 3.2822, 6.3847 Å; angles 90.00, 90.00, 120.00 degrees
Element x y z (fractional)
Sc  0.3333  0.6667  0.6172
Rh  0.6667  0.3333  0.3443
Mg  0.0000  0.0000  0.0385

Entry 11:
Material: MgSc3Rh3
Method: DFT, PBE
State: relaxed

Output
Formation energy from the elements: -0.76 eV per atom
Magnetization: 0.0 μB per formula unit
Symmetry: Cmmm, No. 65

Cell lengths 6.4180, 6.4180, 6.2792 Å; angles 90.00, 90.00, 91.05 degrees
Element x y z (fractional)
Sc  0.2439  0.7561  0.5000
Sc  0.2476  0.7524  0.0000
Sc  0.7561  0.2439  0.5000
Sc  0.7436  0.7436  0.5000
Sc  0.7524  0.2476  0.0000
Sc  0.2564  0.2564  0.5000
Rh  0.0000  0.5000  0.2513
Rh  0.5000  0.0000  0.2513
Rh  0.0000  0.0000  0.2527
Rh  0.5000  0.0000  0.7487
Rh  0.0000  0.5000  0.7487
Rh  0.0000  0.0000  0.7473
Mg  0.7481  0.7481  0.0000
Mg  0.2519  0.2519  0.0000

Entry 12:
Material: Mg2Sc2Rh3
Method: DFT, PBE
State: relaxed

Output
Formation energy from the elements: -0.69 eV per atom
Magnetization: 0.0 μB per formula unit
Symmetry: P-1, No. 2

Cell lengths 4.5211, 4.5219, 7.6163 Å; angles 90.15, 107.24, 119.84 degrees
Element x y z (fractional)
Mg  0.7409  0.8697  0.6110
Mg  0.2591  0.1303  0.3890
Sc  0.7611  0.3812  0.1419
Sc  0.2389  0.6188  0.8581
Rh  0.4899  0.7460  0.2339
Rh  0.5101  0.2540  0.7661
Rh  0.0000  0.0000  0.0000

Entry 13:
Material: MgScRh3
Method: DFT, PBE
State: relaxed

Output
Formation energy from the elements: 0.37 eV per atom
Excess energy over the best structure of this formula in the dataset: 0 meV/atom
Magnetization: 0.0 μB per formula unit
Symmetry: Pm-3m, No. 221

Cell lengths 4.4906, 4.4906, 4.4906 Å; angles 90.00, 90.00, 90.00 degrees
Element x y z (fractional)
Rh  0.0000  0.0000  0.5000
Rh  0.0000  0.5000  0.0000
Rh  0.5000  0.0000  0.0000
Sc  0.5000  0.5000  0.5000
Mg  0.0000  0.0000  0.0000

Entry 14:
Material: MgSc6Rh
Method: DFT, PBE
State: relaxed

Output
Formation energy from the elements: -0.01 eV per atom
Magnetization: 0.0 μB per formula unit
Symmetry: C2/m, No. 12

Cell lengths 6.2766, 6.2766, 6.1019 Å; angles 103.70, 103.70, 117.37 degrees
Element x y z (fractional)
Sc  0.9218  0.5044  0.7467
Sc  0.7253  0.7253  0.2755
Sc  0.0782  0.4956  0.2533
Sc  0.4956  0.0782  0.2533
Sc  0.5044  0.9218  0.7467
Sc  0.2747  0.2747  0.7245
Mg  0.0000  0.0000  0.0000
Rh  0.5000  0.5000  0.5000